A geometry-optimized TbPr4Al4 structure. Source: the Alexandria database, functional PBE.

Structure (POSCAR):
```
TbPr4Al4
1.0
8.9569 0.0000 0.0000
0.0000 8.9569 0.0000
0.0000 0.0000 6.1091
Tb Pr Al
2 8 8
Direct
0.2500 0.2500 0.2500
0.7500 0.7500 0.7500
0.0772 0.8239 0.6264
0.1761 0.5772 0.1264
0.3239 0.9228 0.1264
0.4228 0.6761 0.6264
0.5772 0.3239 0.3736
0.6761 0.0772 0.8736
0.8239 0.4228 0.8736
0.9228 0.1761 0.3736
0.0642 0.1608 0.8535
0.1608 0.4358 0.6465
0.3392 0.0642 0.6465
0.4358 0.3392 0.8535
0.5642 0.6608 0.1465
0.6608 0.9358 0.3535
0.8392 0.5642 0.3535
0.9358 0.8392 0.1465
```

Properties
Its space group is No. 86. The calculated formation energy comes out at -0.15 eV/atom. Its crystal system is tetragonal. The calculation puts the total energy at -4.4480 eV per atom.

=====

A geometry-optimized TbPr4Al5 structure. Source: the Alexandria database, functional PBE.

Structure (POSCAR):
```
TbPr4Al5
1.0
3.7307 0.0000 0.0000
0.0000 3.7307 0.0000
0.0000 0.0000 18.6439
Tb Pr Al
1 4 5
Direct
0.0000 0.0000 0.0000
0.0000 0.0000 0.1947
0.0000 0.0000 0.3983
0.0000 0.0000 0.6017
0.0000 0.0000 0.8053
0.5000 0.5000 0.0908
0.5000 0.5000 0.2966
0.5000 0.5000 0.5000
0.5000 0.5000 0.7034
0.5000 0.5000 0.9092
```

Properties
Its space group is No. 123. The calculated formation energy comes out at -0.35 eV/atom. Its crystal system is tetragonal. The calculation puts the total energy at -4.5963 eV per atom.

=====

A geometry-optimized TbPrThAl structure. Source: the Alexandria database, functional PBE.

Structure (POSCAR):
```
TbPrThAl
1.0
0.0000 3.8627 3.8627
3.8627 0.0000 3.8627
3.8627 3.8627 0.0000
Tb Pr Th Al
1 1 1 1
Direct
0.0000 0.0000 0.0000
0.7500 0.7500 0.7500
0.2500 0.2500 0.2500
0.5000 0.5000 0.5000
```

Properties
Its space group is No. 216. The calculated formation energy comes out at 0.00 eV/atom. Its crystal system is cubic. The calculation puts the total energy at -5.1443 eV per atom.

=====

A geometry-optimized TbPrAlTl structure. Source: the Alexandria database, functional PBE.

Structure (POSCAR):
```
TbPrAlTl
1.0
3.7427 0.0000 0.0000
0.0000 3.7427 0.0000
0.0000 0.0000 7.7402
Tb Pr Al Tl
1 1 1 1
Direct
0.0000 0.0000 0.0000
0.0000 0.0000 0.5268
0.5000 0.5000 0.7752
0.5000 0.5000 0.2486
```

Properties
Its space group is No. 99. The calculated formation energy comes out at -0.37 eV/atom. Its crystal system is tetragonal. As for the energy relative to the lowest polymorph listed for this composition: 0.000 eV/atom. The calculation puts the total energy at -4.2464 eV per atom.

=====

A geometry-optimized TbPrAlTl structure. Source: the Alexandria database, functional PBE.

Structure (POSCAR):
```
TbPrAlTl
1.0
0.0000 3.7905 3.7905
3.7905 0.0000 3.7905
3.7905 3.7905 0.0000
Tb Pr Al Tl
1 1 1 1
Direct
0.0000 0.0000 0.0000
0.5000 0.5000 0.5000
0.2500 0.2500 0.2500
0.7500 0.7500 0.7500
```

Properties
Its space group is No. 216. The calculated formation energy comes out at -0.34 eV/atom. Its crystal system is cubic. As for the energy relative to the lowest polymorph listed for this composition: 0.028 eV/atom. The calculation puts the total energy at -4.2184 eV per atom.

=====

A geometry-optimized TbPrTmAl structure. Source: the Alexandria database, functional PBE.

Structure (POSCAR):
```
TbPrTmAl
1.0
0.0000 3.8210 3.8210
3.8210 0.0000 3.8210
3.8210 3.8210 0.0000
Tb Pr Tm Al
1 1 1 1
Direct
0.0000 0.0000 0.0000
0.5000 0.5000 0.5000
0.7500 0.7500 0.7500
0.2500 0.2500 0.2500
```

Properties
Its space group is No. 216. The calculated formation energy comes out at -0.07 eV/atom. Its crystal system is cubic. As for the energy relative to the lowest polymorph listed for this composition: 0.127 eV/atom. The calculation puts the total energy at -4.4724 eV per atom.

=====

A geometry-optimized TbPrTmAl structure. Source: the Alexandria database, functional PBE.

Structure (POSCAR):
```
TbPrTmAl
1.0
3.5355 0.0000 0.0000
0.0000 3.5355 0.0000
0.0000 0.0000 9.1160
Tb Pr Tm Al
1 1 1 1
Direct
0.0000 0.0000 0.0000
0.5000 0.5000 0.2976
0.0000 0.0000 0.5852
0.5000 0.5000 0.7886
```

Properties
Its space group is No. 99. The calculated formation energy comes out at -0.19 eV/atom. Its crystal system is tetragonal. As for the energy relative to the lowest polymorph listed for this composition: 0.000 eV/atom. The calculation puts the total energy at -4.5994 eV per atom.

=====

A geometry-optimized TbPr2Al2Zn2 structure. Source: the Alexandria database, functional PBE.

Structure (POSCAR):
```
TbPr2Al2Zn2
1.0
2.2711 1.3112 9.4676
-2.2711 1.3112 9.4676
0.0000 -2.6224 9.4676
Tb Pr Al Zn
1 2 2 2
Direct
0.0000 0.0000 0.0000
0.1258 0.1258 0.1258
0.8742 0.8742 0.8742
0.2708 0.2708 0.2708
0.7292 0.7292 0.7292
0.3911 0.3911 0.3911
0.6089 0.6089 0.6089
```

Properties
Its space group is No. 166. The calculated formation energy comes out at -0.32 eV/atom. Its crystal system is trigonal. The calculation puts the total energy at -3.7783 eV per atom.

=====

A geometry-optimized PrAl4Tc structure. Source: the Alexandria database, functional PBE.

Structure (POSCAR):
```
PrAl4Tc
1.0
2.3018 -7.3481 0.0000
2.3018 7.3481 0.0000
0.0000 0.0000 6.7945
Pr Al Tc
2 8 2
Direct
0.1126 0.8874 0.7500
0.8874 0.1126 0.2500
0.0901 0.9099 0.2500
0.2642 0.7358 0.0736
0.2642 0.7358 0.4264
0.5000 0.5000 0.0000
0.5000 0.5000 0.5000
0.7358 0.2642 0.5736
0.7358 0.2642 0.9264
0.9099 0.0901 0.7500
0.3497 0.6503 0.7500
0.6503 0.3497 0.2500
```

Properties
Its space group is No. 63. The calculated formation energy comes out at -0.24 eV/atom. Its crystal system is orthorhombic. The calculation puts the total energy at -5.2545 eV per atom.

=====

A geometry-optimized Pr3Al9Tc2 structure. Source: the Alexandria database, functional PBE.

Structure (POSCAR):
```
Pr3Al9Tc2
1.0
-2.2131 4.8521 6.4811
2.2131 -4.8521 6.4811
2.2131 4.8521 -6.4811
Pr Al Tc
3 9 2
Direct
0.0000 0.0000 0.0000
0.3005 0.3005 0.0000
0.6995 0.6995 0.0000
0.0082 0.6510 0.3572
0.1621 0.8798 0.2823
0.2938 0.6510 0.6428
0.4025 0.1202 0.2823
0.5000 0.0000 0.5000
0.5975 0.8798 0.7177
0.7062 0.3490 0.3572
0.8379 0.1202 0.7177
0.9918 0.3490 0.6428
0.3214 0.5000 0.8214
0.6786 0.5000 0.1786
```

Properties
Its space group is No. 71. The calculated formation energy comes out at -0.44 eV/atom. Its crystal system is orthorhombic. The calculation puts the total energy at -5.3473 eV per atom.

=====

A geometry-optimized PrAlTc structure. Source: the Alexandria database, functional PBE.

Structure (POSCAR):
```
PrAlTc
1.0
3.1407 -6.0528 0.0000
3.1407 6.0528 0.0000
0.0000 0.0000 7.2031
Pr Al Tc
4 4 4
Direct
0.1905 0.8095 0.9009
0.3095 0.6905 0.4009
0.6905 0.3095 0.5991
0.8095 0.1905 0.0991
0.2037 0.2963 0.7500
0.2963 0.2037 0.2500
0.7037 0.7963 0.7500
0.7963 0.7037 0.2500
0.0964 0.9036 0.5170
0.4036 0.5964 0.0170
0.5964 0.4036 0.9830
0.9036 0.0964 0.4830
```

Properties
Its space group is No. 64. The calculated formation energy comes out at -0.03 eV/atom. Its crystal system is orthorhombic. The calculation puts the total energy at -6.3307 eV per atom.

=====

A geometry-optimized PrAl3Tc structure. Source: the Alexandria database, functional PBE.

Structure (POSCAR):
```
PrAl3Tc
1.0
4.7576 0.0000 0.0000
0.0000 4.7576 0.0000
0.0000 0.0000 4.7576
Pr Al Tc
1 3 1
Direct
0.0000 0.0000 0.0000
0.0000 0.5000 0.5000
0.5000 0.0000 0.5000
0.5000 0.5000 0.0000
0.5000 0.5000 0.5000
```

Properties
Its space group is No. 221. The calculated formation energy comes out at -0.35 eV/atom. Its crystal system is cubic. The calculation puts the total energy at -5.6234 eV per atom.

=====

A geometry-optimized Pr2AlTe structure. Source: the Alexandria database, functional PBE.

Structure (POSCAR):
```
Pr2AlTe
1.0
2.3145 -12.2132 0.0000
2.3145 12.2132 0.0000
0.0000 0.0000 4.3711
Pr Al Te
4 2 2
Direct
0.0633 0.9367 0.7500
0.3265 0.6735 0.7500
0.6735 0.3265 0.2500
0.9367 0.0633 0.2500
0.4647 0.5353 0.7500
0.5353 0.4647 0.2500
0.1933 0.8067 0.7500
0.8067 0.1933 0.2500
```

Properties
Its space group is No. 63. The value obtained for the uncorrected formation energy is -0.92 eV per atom. Its crystal system is orthorhombic. As for the energy relative to the lowest polymorph listed for this composition: 0.000 eV/atom. The calculation puts the total energy at -5.0327 eV per atom.

=====

A geometry-optimized Pr5Al2Te structure. Source: the Alexandria database, functional PBE.

Structure (POSCAR):
```
Pr5Al2Te
1.0
-4.1216 4.1216 7.1181
4.1216 -4.1216 7.1181
4.1216 4.1216 -7.1181
Pr Al Te
10 4 2
Direct
0.0000 0.0000 0.0000
0.0190 0.5190 0.8334
0.1856 0.0190 0.5000
0.3144 0.8144 0.8334
0.4810 0.3144 0.5000
0.5000 0.5000 0.0000
0.5190 0.6856 0.5000
0.6856 0.1856 0.1666
0.8144 0.9810 0.5000
0.9810 0.4810 0.1666
0.1206 0.3794 0.5000
0.3794 0.8794 0.2588
0.6206 0.1206 0.7412
0.8794 0.6206 0.5000
0.2500 0.2500 0.0000
0.7500 0.7500 0.0000
```

Properties
Its space group is No. 140. The value obtained for the uncorrected formation energy is -0.52 eV per atom. Its crystal system is tetragonal. The calculation puts the total energy at -4.8391 eV per atom.

=====

A geometry-optimized Pr3AlTe2 structure. Source: the Alexandria database, functional PBE.

Structure (POSCAR):
```
Pr3AlTe2
1.0
0.0000 6.3792 13.3539
4.5616 0.0000 13.3539
4.5616 6.3792 0.0000
Pr Al Te
12 4 8
Direct
0.0412 0.5392 0.2001
0.1157 0.6343 0.6343
0.2001 0.7195 0.0412
0.2805 0.7999 0.4608
0.3657 0.8843 0.8843
0.4608 0.9588 0.2805
0.5392 0.0412 0.7195
0.6343 0.1157 0.1157
0.7195 0.2001 0.5392
0.7999 0.2805 0.9588
0.8843 0.3657 0.3657
0.9588 0.4608 0.7999
0.0416 0.0416 0.2084
0.2084 0.2084 0.0416
0.7916 0.7916 0.9584
0.9584 0.9584 0.7916
0.1272 0.1272 0.6228
0.2932 0.2932 0.4568
0.3772 0.3772 0.8728
0.4568 0.4568 0.2932
0.5432 0.5432 0.7068
0.6228 0.6228 0.1272
0.7068 0.7068 0.5432
0.8728 0.8728 0.3772
```

Properties
Its space group is No. 70. The value obtained for the uncorrected formation energy is -1.05 eV per atom. Its crystal system is orthorhombic. The calculation puts the total energy at -5.1128 eV per atom.

=====

A geometry-optimized Pr3AlTe6 structure. Source: the Alexandria database, functional PBE.

Structure (POSCAR):
```
Pr3AlTe6
1.0
6.2210 -7.6837 0.0000
6.2210 7.6837 0.0000
0.0000 0.0000 7.4475
Pr Al Te
6 2 12
Direct
0.0967 0.9033 0.5000
0.2230 0.4158 0.3862
0.4158 0.2230 0.8862
0.5842 0.7770 0.3862
0.7770 0.5842 0.8862
0.9033 0.0967 0.0000
0.2969 0.7031 0.8503
0.7031 0.2969 0.3503
0.0667 0.5966 0.6764
0.1259 0.1998 0.6944
0.1998 0.1259 0.1944
0.2786 0.7214 0.2034
0.4034 0.9333 0.6764
0.4583 0.5417 0.7098
0.5417 0.4583 0.2098
0.5966 0.0667 0.1764
0.7214 0.2786 0.7034
0.8002 0.8741 0.6944
0.8741 0.8002 0.1944
0.9333 0.4034 0.1764
```

Properties
Its space group is No. 36. The value obtained for the uncorrected formation energy is -1.20 eV per atom. Its crystal system is orthorhombic. The calculation puts the total energy at -4.8894 eV per atom.

=====

A geometry-optimized PrAlTe2 structure. Source: the Alexandria database, functional PBE.

Structure (POSCAR):
```
PrAlTe2
1.0
2.0223 1.1676 9.3944
-2.0223 1.1676 9.3944
0.0000 -2.3352 9.3944
Pr Al Te
1 1 2
Direct
0.0000 0.0000 0.0000
0.5000 0.5000 0.5000
0.1112 0.1112 0.1112
0.8888 0.8888 0.8888
```

Properties
Its space group is No. 166. The value obtained for the uncorrected formation energy is -0.36 eV per atom. Its crystal system is trigonal. The calculation puts the total energy at -4.0601 eV per atom.

=====

A geometry-optimized Pr2AlTe structure. Source: the Alexandria database, functional PBE.

Structure (POSCAR):
```
Pr2AlTe
1.0
2.0946 1.2093 8.4963
-2.0946 1.2093 8.4963
0.0000 -2.4186 8.4963
Pr Al Te
2 1 1
Direct
0.0000 0.0000 0.0000
0.1695 0.1695 0.1695
0.7522 0.7522 0.7522
0.5837 0.5837 0.5837
```

Properties
Its space group is No. 160. The value obtained for the uncorrected formation energy is -0.68 eV per atom. Its crystal system is trigonal. As for the energy relative to the lowest polymorph listed for this composition: 0.243 eV/atom. The calculation puts the total energy at -4.7898 eV per atom.

=====

A geometry-optimized PrAl2Te4 structure. Source: the Alexandria database, functional PBE.

Structure (POSCAR):
```
PrAl2Te4
1.0
-4.1551 4.1551 3.3875
4.1551 -4.1551 3.3875
4.1551 4.1551 -3.3875
Pr Al Te
1 2 4
Direct
0.0000 0.0000 0.0000
0.2500 0.7500 0.5000
0.7500 0.2500 0.5000
0.1923 0.3415 0.5339
0.3415 0.8077 0.1492
0.6585 0.1923 0.8508
0.8077 0.6585 0.4661
```

Properties
Its space group is No. 87. The value obtained for the uncorrected formation energy is -0.54 eV per atom. Its crystal system is tetragonal. The calculation puts the total energy at -4.0863 eV per atom.

=====

A geometry-optimized Pr2AlTe structure. Source: the Alexandria database, functional PBE.

Structure (POSCAR):
```
Pr2AlTe
1.0
3.7767 0.0000 0.0000
0.0000 3.7767 0.0000
0.0000 0.0000 8.0918
Pr Al Te
2 1 1
Direct
0.0000 0.0000 0.2484
0.0000 0.0000 0.7516
0.5000 0.5000 0.0000
0.5000 0.5000 0.5000
```

Properties
Its space group is No. 123. The value obtained for the uncorrected formation energy is -0.72 eV per atom. Its crystal system is tetragonal. As for the energy relative to the lowest polymorph listed for this composition: 0.198 eV/atom. The calculation puts the total energy at -4.8346 eV per atom.